Entry 1:
Material: La8Se4S3N
Method: DFT, PBE
State: optimized geometry

The space group is R-3m (No. 166, hexagonal axes) and the conventional cell measures 8.3394, 8.3394 and 20.7925 Å, with angles of 90.00, 90.00 and 120.00 degrees. The asymmetric unit holds La at (0.0000, 0.0000, 0.2444), La at (0.0240, 0.5120, 0.2393), Se at (0.0000, 0.0000, 0.0000), Se at (0.0000, 0.5000, 0.0000), S at (0.0000, 0.5000, 0.5000) and N at (0.0000, 0.0000, 0.5000).

The crystal system is trigonal. The raw formation energy is -1966 meV per atom. As for the spin magnetization: 0.000 μB per cell.

Entry 2:
Material: LaSiSN2
Method: DFT, PBE
State: optimized geometry

The space group is P4/mmm (No. 123) and the conventional cell measures 4.162, 4.162 and 6.009 Å, with angles of 90.00, 90.00 and 90.00 degrees. The asymmetric unit holds La at (0.000, 0.000, 0.000), Si at (0.500, 0.500, 0.500), S at (0.000, 0.000, 0.500) and N at (0.000, 0.500, 0.000).

The crystal system is tetragonal. The calculation puts the energy above the lowest structure with this stoichiometry at 1504.4 meV per atom. The raw formation energy is 949 meV per atom. As for the spin magnetization: 0.000 μB per cell.